# 1
Below is CaPm4Rh5 after structural relaxation, with properties calculated at the PBE-GGA level.

a b c (Å): 3.5291 3.5291 17.2716
angles (deg): 90.00 90.00 90.00
Closest atoms and distances in Å follow each position.
Sites, in units of the cell vectors:
1 Ca 0.0000 0.0000 0.0000  8 Rh 3.10, 2 Pm 3.41
2 Rh 0.5000 0.5000 0.5000  8 Pm 3.04
3 Pm 0.0000 0.0000 0.3992  8 Rh 3.02-3.04
4 Pm 0.0000 0.0000 0.8023  8 Rh 2.95-3.06
5 Rh 0.5000 0.5000 0.6994  8 Pm 3.02-3.06, 1 Rh 3.36
6 Rh 0.5000 0.5000 0.8939  4 Pm 2.95, 4 Ca 3.10
7 Rh 0.5000 0.5000 0.3006  8 Pm 3.02-3.06, 1 Rh 3.36
8 Pm 0.0000 0.0000 0.6008  8 Rh 3.02-3.04
9 Rh 0.5000 0.5000 0.1061  4 Pm 2.95, 4 Ca 3.10
10 Pm 0.0000 0.0000 0.1977  8 Rh 2.95-3.06

Summary:
Space group ... P4/mmm, No. 123
Crystal system ... tetragonal
Magnetization ... 0.000 μB/f.u.
N(E_F) ... 0.6418 states/eV per atom
Total DFT energy (no corrections) ... -64.0 eV for the cell shown

# 2
Below is Ca3Pm3Rh4 after structural relaxation, with properties calculated at the PBE-GGA level.

a b c (Å): 3.7150 8.0766 8.0766
angles (deg): 90.85 90.00 90.00
Closest atoms and distances in Å follow each position.
Sites, in units of the cell vectors:
1 Pm 0.5000 0.6524 0.6497  6 Rh 2.93-3.04
2 Ca 0.0000 0.4958 0.9959  4 Rh 3.03-3.16
3 Pm 0.5000 0.8517 0.1483  6 Rh 2.98-2.99
4 Ca 0.0000 0.0041 0.5042  4 Rh 3.03-3.16
5 Rh 0.0000 0.3622 0.6378  4 Pm 2.99, 4 Ca 3.07, 1 Rh 3.30
6 Rh 0.0000 0.8435 0.8589  4 Pm 2.93-2.99, 4 Ca 3.03-3.16
7 Pm 0.5000 0.3503 0.3476  6 Rh 2.93-3.04
8 Ca 0.5000 0.1500 0.8500  6 Rh 3.07-3.10, 1 Pm 3.43
9 Rh 0.0000 0.1411 0.1565  4 Pm 2.93-2.99, 4 Ca 3.03-3.16
10 Rh 0.0000 0.6488 0.3512  6 Pm 2.98-3.04, 2 Ca 3.11, 1 Rh 3.30

Summary:
Space group ... Amm2, No. 38
Crystal system ... orthorhombic
Magnetization ... 0.000 μB/f.u.
N(E_F) ... 0.5240 states/eV per atom
Total DFT energy (no corrections) ... -54.8 eV for the cell shown